# 1
Density functional theory data (PBE) for an optimized crystal structure of CaTiFe2.

Cell lengths 4.6610, 4.6610, 8.6853 Å; angles 74.44, 74.44, 90.00 degrees
Each line ends with the local moment (μB).
Fractional positions:
Ca1 0.5000 0.5000 0.0000  -0.06
Ca2 0.2500 0.7500 0.5000  -0.06
Fe1 0.8748 0.1250 0.2500  2.05
Fe2 0.8752 0.6250 0.2500  2.06
Fe3 0.3750 0.1252 0.7500  1.88
Fe4 0.8750 0.1248 0.7500  1.77
Ti1 0.0000 0.0000 0.0000  -0.91
Ti2 0.7500 0.2500 0.5000  -0.91

---

# 2
Density functional theory data (PBE) for an optimized crystal structure of CaTiFe2.

Cell lengths 4.4122, 4.4122, 4.4122 Å; angles 60.00, 60.00, 60.00 degrees
Fractional positions:
Ca1 0.0000 0.0000 0.0000
Fe1 0.2500 0.2500 0.2500
Fe2 0.7500 0.7500 0.7500
Ti1 0.5000 0.5000 0.5000

---

# 3
Density functional theory data (PBE) for an optimized crystal structure of CaTi2VFe.

Cell lengths 4.4773, 5.2702, 4.4773 Å; angles 90.00, 90.00, 90.00 degrees
Each line ends with the local moment (μB).
Fractional positions:
Ca1 0.0000 0.5000 0.0000  0.06
Ti1 0.0000 0.0000 0.5000  -0.07
Ti2 0.5000 0.0000 0.0000  -0.22
Fe1 0.0000 0.0000 0.0000  0.31
V1 0.5000 0.5000 0.5000  2.78

---

# 4
Density functional theory data (PBE) for an optimized crystal structure of CaTiVFe2.

Cell lengths 4.2790, 4.7023, 4.2790 Å; angles 90.00, 90.00, 90.00 degrees
Fractional positions:
Ca1 0.0000 0.5000 0.0000
Ti1 0.5000 0.5000 0.5000
Fe1 0.0000 0.0000 0.5000
Fe2 0.5000 0.0000 0.0000
V1 0.0000 0.0000 0.0000

---

# 5
Density functional theory data (PBE) for an optimized crystal structure of CaYTiFe2.

Cell lengths 4.5739, 5.0927, 4.5739 Å; angles 90.00, 90.00, 90.00 degrees
Each line ends with the local moment (μB).
Fractional positions:
Y1 0.0000 0.0000 0.0000  -0.33
Ca1 0.0000 0.5000 0.0000  -0.01
Fe1 0.0000 0.0000 0.5000  2.12
Fe2 0.5000 0.0000 0.0000  2.21
Ti1 0.5000 0.5000 0.5000  1.04

---

# 6
Density functional theory data (PBE) for an optimized crystal structure of CaTlFe2.

Cell lengths 5.5249, 5.5870, 3.0023 Å; angles 77.92, 83.10, 117.53 degrees
Each line ends with the local moment (μB).
Fractional positions:
Tl1 0.0000 0.5000 0.5000  -0.05
Ca1 0.5000 0.5000 0.0000  -0.12
Fe1 0.0000 0.0000 0.0000  2.72
Fe2 0.5000 0.0000 0.5000  2.72

---

# 7
Density functional theory data (PBE) for an optimized crystal structure of CaTlFe2.

Cell lengths 5.0680, 5.0680, 5.0680 Å; angles 128.98, 128.98, 75.05 degrees
Each line ends with the local moment (μB).
Fractional positions:
Tl1 0.5000 0.5000 0.0000  -0.06
Ca1 0.7500 0.2500 0.5000  -0.07
Fe1 0.0000 0.0000 0.0000  2.76
Fe2 0.2500 0.7500 0.5000  2.70

---

# 8
Density functional theory data (PBE) for an optimized crystal structure of CaTlFe2.

Cell lengths 4.8659, 4.8659, 5.6499 Å; angles 65.22, 65.22, 49.11 degrees
Each line ends with the local moment (μB).
Fractional positions:
Tl1 0.7500 0.7500 0.7500  -0.05
Ca1 0.2500 0.2500 0.2500  -0.05
Fe1 0.0253 0.0253 0.8401  2.45
Fe2 0.4747 0.4747 0.6599  2.45

---

# 9
Density functional theory data (PBE) for an optimized crystal structure of CaTlFe2.

Cell lengths 3.2721, 3.2713, 8.0174 Å; angles 65.88, 90.00, 90.00 degrees
Each line ends with the local moment (μB).
Fractional positions:
Tl1 0.0000 0.5482 0.4516  -0.02
Ca1 0.5000 0.7162 0.7838  -0.06
Fe1 0.0000 0.9312 0.0689  2.64
Fe2 0.5000 0.3045 0.1957  2.66

---

# 10
Density functional theory data (PBE) for an optimized crystal structure of CaTlFe2.

Cell lengths 4.7776, 3.3541, 5.2932 Å; angles 89.04, 90.00, 90.00 degrees
Each line ends with the local moment (μB).
Fractional positions:
Tl1 0.5000 0.2500 0.2500  -0.06
Ca1 0.5000 0.7500 0.7500  -0.07
Fe1 0.0000 0.1963 0.9700  2.76
Fe2 0.0000 0.3037 0.5300  2.76

---

# 11
Density functional theory data (PBE) for an optimized crystal structure of Ca4TlFe.

Cell lengths 6.5818, 6.5818, 6.5818 Å; angles 60.00, 60.00, 60.00 degrees
Each line ends with the local moment (μB).
Fractional positions:
Ca1 0.8729 0.3757 0.3757  -0.05
Ca2 0.3757 0.3757 0.8729  -0.05
Ca3 0.3757 0.8729 0.3757  -0.05
Ca4 0.3757 0.3757 0.3757  -0.05
Tl1 0.0000 0.0000 0.0000  0.00
Fe1 0.7500 0.7500 0.7500  3.19

---

# 12
Density functional theory data (PBE) for an optimized crystal structure of CaTlFe2.

Cell lengths 5.5921, 5.5921, 5.5921 Å; angles 144.52, 128.60, 64.01 degrees
Each line ends with the local moment (μB).
Fractional positions:
Tl1 0.5232 0.5232 0.0000  -0.02
Ca1 0.2366 0.7366 0.5000  -0.06
Fe1 0.9543 0.9543 0.0000  2.58
Fe2 0.7858 0.2858 0.5000  2.42

---

What are the formation energy from the elements values for these records? In order: 2.614 2.010 3.715 5.970 8.202 2.616 1.946 1.540 0.863 2.212 4.026 1.436 eV/f.u..
What are the N(E_F) values for these records? In order: 1.5499 2.0123 1.1825 1.4463 1.7008 1.3761 1.1278 1.1618 0.7309 1.1589 1.1570 0.7664 states/eV/atom.
What are the total magnetization values for these records? In order: 5.4 0.0 3.6 0.0 5.3 5.0 5.2 4.9 5.1 5.3 2.5 4.9 μB per cell.